Entry 1:
VASP calculation (GGA-PBE) on a relaxed structure of Pm6CoPt3.

Output
The total energy comes out at -121.637 eV/cell. Its space group is No. 14.

Cell: 6.902 7.579 12.430 Å, 90.00 122.88 90.00°
Sites, in units of the cell vectors:
Pm (0.089, 0.186, 0.424)
Pm (0.089, 0.314, 0.924)
Pm (0.245, 0.671, 0.425)
Pm (0.245, 0.829, 0.925)
Pm (0.402, 0.052, 0.243)
Pm (0.402, 0.448, 0.743)
Pm (0.598, 0.552, 0.257)
Pm (0.598, 0.948, 0.757)
Pm (0.755, 0.171, 0.075)
Pm (0.755, 0.329, 0.575)
Pm (0.911, 0.686, 0.076)
Pm (0.911, 0.814, 0.576)
Co (0.000, 0.000, 0.000)
Co (0.000, 0.500, 0.500)
Pt (0.193, 0.112, 0.745)
Pt (0.193, 0.388, 0.245)
Pt (0.500, 0.000, 0.500)
Pt (0.500, 0.500, 0.000)
Pt (0.807, 0.612, 0.755)
Pt (0.807, 0.888, 0.255)

Entry 2:
VASP calculation (GGA-PBE) on a relaxed structure of Pm6CoPt2.

Output
The total energy comes out at -105.655 eV/cell. Its space group is No. 14.

Cell: 6.754 7.378 11.921 Å, 90.00 121.45 90.00°
Sites, in units of the cell vectors:
Pm (0.101, 0.039, 0.251)
Pm (0.101, 0.461, 0.751)
Pm (0.246, 0.681, 0.072)
Pm (0.246, 0.819, 0.572)
Pm (0.387, 0.180, 0.064)
Pm (0.387, 0.320, 0.564)
Pm (0.613, 0.680, 0.436)
Pm (0.613, 0.820, 0.936)
Pm (0.754, 0.181, 0.428)
Pm (0.754, 0.319, 0.928)
Pm (0.899, 0.539, 0.249)
Pm (0.899, 0.961, 0.749)
Co (0.000, 0.000, 0.000)
Co (0.000, 0.500, 0.500)
Pt (0.318, 0.114, 0.765)
Pt (0.318, 0.386, 0.265)
Pt (0.682, 0.614, 0.735)
Pt (0.682, 0.886, 0.235)

Entry 3:
VASP calculation (GGA-PBE) on a relaxed structure of Pm8CoPt2.

Output
As for the energy above the lowest structure with this stoichiometry: 0.0000 eV/atom. Its space group is No. 12.

Cell: 9.122 9.122 6.982 Å, 98.56 98.56 31.95°
Sites, in units of the cell vectors:
Pm (0.030, 0.030, 0.283)
Pm (0.205, 0.205, 0.831)
Pm (0.340, 0.340, 0.531)
Pm (0.412, 0.412, 0.055)
Pm (0.588, 0.588, 0.945)
Pm (0.660, 0.660, 0.469)
Pm (0.795, 0.795, 0.169)
Pm (0.970, 0.970, 0.717)
Co (0.500, 0.500, 0.500)
Pt (0.200, 0.200, 0.241)
Pt (0.800, 0.800, 0.759)

Entry 4:
VASP calculation (GGA-PBE) on a relaxed structure of PmCoPt2.

Output
The total energy comes out at -26.052 eV/cell. Its space group is No. 123.

Cell: 4.105 4.105 4.138 Å, 90.00 90.00 90.00°
Sites, in units of the cell vectors:
Pm (0.000, 0.000, 0.000)
Co (0.500, 0.500, 0.000)
Pt (0.000, 0.500, 0.500)
Pt (0.500, 0.000, 0.500)

Entry 5:
VASP calculation (GGA-PBE) on a relaxed structure of Pm4Co2Pt.

Output
The total energy comes out at -82.128 eV/cell. Its space group is No. 74.

Cell: 7.741 7.741 7.741 Å, 109.40 109.33 109.68°
Sites, in units of the cell vectors:
Pm (0.203, 0.264, 0.561)
Pm (0.203, 0.643, 0.939)
Pm (0.264, 0.203, 0.061)
Pm (0.357, 0.797, 0.561)
Pm (0.643, 0.203, 0.439)
Pm (0.736, 0.797, 0.939)
Pm (0.797, 0.357, 0.061)
Pm (0.797, 0.736, 0.439)
Co (0.000, 0.500, 0.500)
Co (0.500, 0.000, 0.000)
Co (0.500, 0.500, 0.000)
Co (0.500, 0.500, 0.500)
Pt (0.124, 0.874, 0.250)
Pt (0.876, 0.126, 0.750)

Entry 6:
VASP calculation (GGA-PBE) on a relaxed structure of Pm4Co3Pt.

Output
The total energy comes out at -49.081 eV/cell. Its space group is No. 25.

Cell: 4.029 4.067 10.881 Å, 90.00 90.00 90.00°
Sites, in units of the cell vectors:
Pm (0.000, 0.000, 0.000)
Pm (0.000, 0.500, 0.490)
Pm (0.500, 0.000, 0.712)
Pm (0.500, 0.500, 0.209)
Co (0.000, 0.000, 0.301)
Co (0.500, 0.000, 0.404)
Co (0.500, 0.500, 0.935)
Pt (0.000, 0.500, 0.780)

Entry 7:
VASP calculation (GGA-PBE) on a relaxed structure of Pm4CoPt.

Output
As for the energy above the lowest structure with this stoichiometry: 0.0000 eV/atom. Its space group is No. 15.

Cell: 8.166 8.166 6.433 Å, 108.09 108.09 113.82°
Sites, in units of the cell vectors:
Pm (0.052, 0.688, 0.897)
Pm (0.227, 0.345, 0.715)
Pm (0.312, 0.948, 0.603)
Pm (0.345, 0.227, 0.215)
Pm (0.655, 0.773, 0.785)
Pm (0.688, 0.052, 0.397)
Pm (0.773, 0.655, 0.285)
Pm (0.948, 0.312, 0.103)
Co (0.007, 0.993, 0.250)
Co (0.993, 0.007, 0.750)
Pt (0.363, 0.637, 0.250)
Pt (0.637, 0.363, 0.750)

Entry 8:
VASP calculation (GGA-PBE) on a relaxed structure of PmCoSbPt.

Output
For the uncorrected formation energy, the calculation gives -38.1 kJ/mol of atoms. Its space group is No. 216.

Cell: 4.818 4.818 4.818 Å, 60.00 60.00 60.00°
Sites, in units of the cell vectors:
Pm (0.000, 0.000, 0.000)
Co (0.250, 0.250, 0.250)
Sb (0.500, 0.500, 0.500)
Pt (0.750, 0.750, 0.750)

Entry 9:
VASP calculation (GGA-PBE) on a relaxed structure of PmScCoPt.

Output
The total energy comes out at -26.531 eV/cell. Its space group is No. 216.

Cell: 4.779 4.779 4.779 Å, 60.00 60.00 60.00°
Sites, in units of the cell vectors:
Pm (0.000, 0.000, 0.000)
Sc (0.500, 0.500, 0.500)
Co (0.750, 0.750, 0.750)
Pt (0.250, 0.250, 0.250)

Entry 10:
VASP calculation (GGA-PBE) on a relaxed structure of Pm3CoSi2Pt9.

Output
For the uncorrected formation energy, the calculation gives -62.0 kJ/mol of atoms. Its space group is No. 164.

Cell: 6.391 6.391 8.706 Å, 90.00 90.00 120.00°
Sites, in units of the cell vectors:
Pm (0.000, 0.000, 0.000)
Pm (0.333, 0.667, 0.690)
Pm (0.667, 0.333, 0.310)
Co (0.000, 0.000, 0.500)
Si (0.333, 0.667, 0.188)
Si (0.667, 0.333, 0.812)
Pt (0.000, 0.500, 0.000)
Pt (0.143, 0.285, 0.281)
Pt (0.143, 0.857, 0.281)
Pt (0.285, 0.143, 0.719)
Pt (0.500, 0.000, 0.000)
Pt (0.500, 0.500, 0.000)
Pt (0.715, 0.857, 0.281)
Pt (0.857, 0.143, 0.719)
Pt (0.857, 0.715, 0.719)

Entry 11:
VASP calculation (GGA-PBE) on a relaxed structure of Pm2CoSi4Pt3.

Output
For the uncorrected formation energy, the calculation gives -99.1 kJ/mol of atoms. Its space group is No. 115.

Cell: 4.180 4.180 9.917 Å, 90.00 90.00 90.00°
Sites, in units of the cell vectors:
Pm (0.000, 0.500, 0.249)
Pm (0.500, 0.000, 0.751)
Co (0.500, 0.500, 0.000)
Si (0.000, 0.000, 0.500)
Si (0.000, 0.500, 0.874)
Si (0.500, 0.000, 0.126)
Si (0.500, 0.500, 0.500)
Pt (0.000, 0.000, 0.000)
Pt (0.000, 0.500, 0.626)
Pt (0.500, 0.000, 0.374)

Entry 12:
VASP calculation (GGA-PBE) on a relaxed structure of PmSmCoPt.

Output
The total energy comes out at -24.703 eV/cell. Its space group is No. 216.

Cell: 4.967 4.967 4.967 Å, 60.00 60.00 60.00°
Sites, in units of the cell vectors:
Pm (0.000, 0.000, 0.000)
Sm (0.500, 0.500, 0.500)
Co (0.250, 0.250, 0.250)
Pt (0.750, 0.750, 0.750)